Here is an optimized crystal structure of Hf5Co2H12 from Alexandria via LeMat-Bulk. Energies are from PBE.

The structure in POSCAR format:
```
Hf5Co2H12
1.0
-0.0476 2.1224 4.9306
-1.5150 -5.2186 -0.6906
6.3604 -0.7006 0.3630
Hf Co H
5 2 12
Direct
0.3444 0.6889 0.6298
0.2702 0.5403 0.1496
0.0000 0.0000 0.5000
0.7298 0.4597 0.8504
0.6556 0.3111 0.3702
0.7623 0.0000 0.0000
0.2377 0.0000 0.0000
0.9404 0.8808 0.1263
0.1425 0.6591 0.9020
0.5165 0.6591 0.9020
0.0677 0.6584 0.3932
0.5907 0.6584 0.3932
0.5236 0.0473 0.8509
0.4764 0.9527 0.1491
0.9323 0.3416 0.6068
0.4093 0.3416 0.6068
0.8575 0.3409 0.0980
0.4835 0.3409 0.0980
0.0596 0.1192 0.8737
```

Calculated values
VASP energy ... -109.9 eV/cell
Volume ... 8.47 Å³ per atom
M_tot ... 0.9 μB per cell